A geometry-optimized YMgTl2 structure. Source: the Alexandria database, functional PBE. Values from VASP.

The structure in Quantum ESPRESSO input format:
```
&SYSTEM
  ibrav = 0, nat = 4, ntyp = 3
/
ATOMIC_SPECIES
Y 88.91 Y.upf
Mg 24.30 Mg.upf
Tl 204.38 Tl.upf
CELL_PARAMETERS angstrom
3.4406 0.0000 0.0000
0.0000 4.8024 0.0000
-0.7439 0.0000 6.4920
ATOMIC_POSITIONS crystal
Y 0.0000 0.0000 0.0000
Mg 0.5000 0.0000 0.5000
Tl 0.3695 0.5000 0.7492
Tl 0.6305 0.5000 0.2508
```

Output
Total DFT energy (no corrections) (Ry/atom): -0.24657
Spin magnetization (μB/atom): 0.00
Calculated formation energy (eV per atom): -0.16